20
Lattice="8.0411 0.0000 3.9214 2.8841 8.9436 4.2909 -0.5996 0.2567 11.4345" Properties=species:S:1:pos:R:3 comment="PBE Ba7Ag2Ir, optimized geometry" formation_enthalpy_0k_mev_per_atom=-73 final_energy_ev_per_atom=-2.876 vol_a3_per_cell=837.4 pbc="T T T"
Ba 6.6145 4.9438 14.7043
Ba 7.3219 0.3436 7.7436
Ba 4.2151 8.3904 15.4069
Ba 3.4257 2.0115 8.4686
Ba 5.2376 2.4284 12.0706
Ba 8.2457 3.7902 10.0668
Ba 1.2838 2.8453 12.8608
Ba 9.0418 6.3550 6.7861
Ba 2.0799 5.4101 9.5801
Ba 5.0880 6.7719 7.5763
Ba 6.8999 7.1888 11.1783
Ba 6.1105 0.8099 4.2400
Ba 3.0037 8.8567 11.9033
Ba 3.7111 4.2565 4.9426
Ag 7.8545 8.2467 14.5134
Ag 6.7088 3.6466 6.6490
Ag 3.6168 5.5537 12.9979
Ag 2.4711 0.9536 5.1335
Ir 8.3041 2.4284 13.5660
Ir 2.0216 6.7719 6.0809